# 1
Computed, not measured: a relaxed Bi6Pd5 crystal at the PBE level of DFT.

The structure in CIF format:
```
data_Bi6Pd5
_space_group_name_H-M_alt 'C 1 2/m 1'
_space_group_IT_number 12
_cell_length_a 7.0279
_cell_length_b 13.3788
_cell_length_c 6.5795
_cell_angle_alpha 90.00
_cell_angle_beta 116.04
_cell_angle_gamma 90.00
loop_
_space_group_symop_operation_xyz
'x,y,z'
'-x,-y,-z'
'-x,y,-z'
'x,-y,z'
'x+1/2,y+1/2,z'
'-x+1/2,-y+1/2,-z'
'-x+1/2,y+1/2,-z'
'x+1/2,-y+1/2,z'
loop_
_atom_site_label
_atom_site_type_symbol
_atom_site_fract_x
_atom_site_fract_y
_atom_site_fract_z
Bi1 Bi 0.2454 0.0000 0.2634
Bi2 Bi 0.2447 0.1713 0.7439
Pd1 Pd 0.0000 0.0000 0.5000
Pd2 Pd 0.0000 0.1623 0.0000
Pd3 Pd 0.0000 0.3323 0.5000
```

- Total energy: -4.609 eV per atom
- Formation enthalpy at 0 K: -132 meV per atom
- Distance to the lowest polymorph of the same formula: 0.097 eV/atom
- DOS(E_F): 10.60 states/eV/cell
- Volume: 25.27 Å³/atom

# 2
Computed, not measured: a relaxed FeAg2 crystal at the PBE level of DFT.

The structure in CIF format:
```
data_FeAg2
_space_group_name_H-M_alt 'I 4/m m m'
_space_group_IT_number 139
_space_group_name_Hall '-I 4 2'
_cell_length_a 2.7964
_cell_length_b 2.7964
_cell_length_c 12.3048
_cell_angle_alpha 90.00
_cell_angle_beta 90.00
_cell_angle_gamma 90.00
loop_
_atom_site_label
_atom_site_type_symbol
_atom_site_fract_x
_atom_site_fract_y
_atom_site_fract_z
Fe1 Fe 0.0000 0.0000 0.0000
Ag1 Ag 0.0000 0.0000 0.3405
```

- Total energy: -4.410 eV per atom
- Formation enthalpy at 0 K: 312 meV per atom
- DOS(E_F): 4.62 states/eV/cell
- Volume: 16.04 Å³/atom

# 3
Computed, not measured: a relaxed ZrNiTeI2 crystal at the PBE level of DFT.

The structure in CIF format:
```
data_ZrNiTeI2
_space_group_name_H-M_alt 'P 4/m m m'
_space_group_IT_number 123
_space_group_name_Hall '-P 4 2'
_cell_length_a 5.7428
_cell_length_b 5.7428
_cell_length_c 5.6182
_cell_angle_alpha 90.00
_cell_angle_beta 90.00
_cell_angle_gamma 90.00
loop_
_atom_site_label
_atom_site_type_symbol
_atom_site_fract_x
_atom_site_fract_y
_atom_site_fract_z
Zr1 Zr 0.0000 0.0000 0.0000
Ni1 Ni 0.5000 0.5000 0.5000
Te1 Te 0.0000 0.0000 0.5000
I1 I 0.0000 0.5000 0.0000
```

- Total energy: -3.747 eV per atom
- Distance to the lowest polymorph of the same formula: 0.036 eV/atom
- Energy relative to the elements, uncorrected: 0.37 eV/atom
- DOS(E_F): 16.21 states/eV/cell
- Volume: 37.06 Å³/atom

# 4
Computed, not measured: a relaxed ZrZn2Fe crystal at the PBE level of DFT.

The structure in CIF format:
```
data_ZrZn2Fe
_space_group_name_H-M_alt 'C m m m'
_space_group_IT_number 65
_space_group_name_Hall '-C 2 2'
_cell_length_a 5.4344
_cell_length_b 8.5793
_cell_length_c 2.7425
_cell_angle_alpha 90.00
_cell_angle_beta 90.00
_cell_angle_gamma 90.00
loop_
_atom_site_label
_atom_site_type_symbol
_atom_site_fract_x
_atom_site_fract_y
_atom_site_fract_z
Zr1 Zr 0.0000 0.0000 0.0000
Zn1 Zn 0.2500 0.2500 0.5000
Fe1 Fe 0.0000 0.5000 0.0000
```

- Total energy: -4.817 eV per atom
- Formation enthalpy at 0 K: 73 meV per atom
- DOS(E_F): 6.93 states/eV/cell
- Volume: 15.98 Å³/atom

# 5
Computed, not measured: a relaxed Li2ZrCd2 crystal at the PBE level of DFT.

The structure in CIF format:
```
data_Li2ZrCd2
_space_group_name_H-M_alt 'P 4/m b m'
_space_group_IT_number 127
_space_group_name_Hall '-P 4 2ab'
_cell_length_a 8.1264
_cell_length_b 8.1264
_cell_length_c 2.9330
_cell_angle_alpha 90.00
_cell_angle_beta 90.00
_cell_angle_gamma 90.00
loop_
_atom_site_label
_atom_site_type_symbol
_atom_site_fract_x
_atom_site_fract_y
_atom_site_fract_z
Li1 Li 0.1655 0.3345 0.0000
Zr1 Zr 0.0000 0.0000 0.5000
Cd1 Cd 0.1345 0.6345 0.5000
```

- Total energy: -2.843 eV per atom
- Formation enthalpy at 0 K: -2 meV per atom
- Distance to the lowest polymorph of the same formula: 0.105 eV/atom
- DOS(E_F): 4.08 states/eV/cell
- Volume: 19.37 Å³/atom

# 6
Computed, not measured: a relaxed Tl2FeMo crystal at the PBE level of DFT.

The structure in CIF format:
```
data_Tl2FeMo
_space_group_name_H-M_alt 'I -4 2 d'
_space_group_IT_number 122
_space_group_name_Hall 'I -4 2bw'
_cell_length_a 7.4825
_cell_length_b 7.4825
_cell_length_c 5.8916
_cell_angle_alpha 90.00
_cell_angle_beta 90.00
_cell_angle_gamma 90.00
loop_
_atom_site_label
_atom_site_type_symbol
_atom_site_fract_x
_atom_site_fract_y
_atom_site_fract_z
Tl1 Tl 0.2322 0.7500 0.1250
Fe1 Fe 0.0000 0.0000 0.0000
Mo1 Mo 0.0000 0.0000 0.5000
```

- Total energy: -4.970 eV per atom
- Formation enthalpy at 0 K: 1037 meV per atom
- Distance to the lowest polymorph of the same formula: 0.551 eV/atom
- DOS(E_F): 5.65 states/eV/cell
- Volume: 20.62 Å³/atom

# 7
Computed, not measured: a relaxed KZrTe crystal at the PBE level of DFT.

The structure in CIF format:
```
data_KZrTe
_space_group_name_H-M_alt 'P 3 m 1'
_space_group_IT_number 156
_cell_length_a 3.8172
_cell_length_b 3.8172
_cell_length_c 7.9603
_cell_angle_alpha 90.00
_cell_angle_beta 90.00
_cell_angle_gamma 120.00
loop_
_space_group_symop_operation_xyz
'x,y,z'
'-y,x-y,z'
'-x+y,-x,z'
'-y,-x,z'
'-x+y,y,z'
'x,x-y,z'
loop_
_atom_site_label
_atom_site_type_symbol
_atom_site_fract_x
_atom_site_fract_y
_atom_site_fract_z
K1 K 0.0000 0.0000 0.0000
Zr1 Zr 0.3333 0.6667 0.5738
Te1 Te 0.6667 0.3333 0.3403
```

- Total energy: -4.444 eV per atom
- Distance to the lowest polymorph of the same formula: 0.471 eV/atom
- Energy relative to the elements, uncorrected: -0.18 eV/atom
- DOS(E_F): 1.51 states/eV/cell
- Volume: 33.48 Å³/atom

# 8
Computed, not measured: a relaxed UAl3H crystal at the PBE level of DFT.

The structure in CIF format:
```
data_UAl3H
_space_group_name_H-M_alt 'P m -3 m'
_space_group_IT_number 221
_space_group_name_Hall '-P 4 2 3'
_cell_length_a 4.3078
_cell_length_b 4.3078
_cell_length_c 4.3078
_cell_angle_alpha 90.00
_cell_angle_beta 90.00
_cell_angle_gamma 90.00
loop_
_atom_site_label
_atom_site_type_symbol
_atom_site_fract_x
_atom_site_fract_y
_atom_site_fract_z
U1 U 0.0000 0.0000 0.0000
Al1 Al 0.0000 0.5000 0.5000
H1 H 0.5000 0.5000 0.5000
```

- Total energy: -5.074 eV per atom
- DOS(E_F): 4.83 states/eV/cell
- Volume: 15.99 Å³/atom

# 9
Computed, not measured: a relaxed Nb2TlPd9 crystal at the PBE level of DFT.

The structure in CIF format:
```
data_Nb2TlPd9
_space_group_name_H-M_alt 'P 4/m m m'
_space_group_IT_number 123
_space_group_name_Hall '-P 4 2'
_cell_length_a 3.9982
_cell_length_b 3.9982
_cell_length_c 12.1362
_cell_angle_alpha 90.00
_cell_angle_beta 90.00
_cell_angle_gamma 90.00
loop_
_atom_site_label
_atom_site_type_symbol
_atom_site_fract_x
_atom_site_fract_y
_atom_site_fract_z
Nb1 Nb 0.0000 0.0000 0.1678
Tl1 Tl 0.0000 0.0000 0.5000
Pd1 Pd 0.0000 0.5000 0.0000
Pd2 Pd 0.0000 0.5000 0.3208
Pd3 Pd 0.5000 0.5000 0.1605
Pd4 Pd 0.5000 0.5000 0.5000
```

- Total energy: -6.110 eV per atom
- Formation enthalpy at 0 K: -340 meV per atom
- DOS(E_F): 7.90 states/eV/cell
- Volume: 16.17 Å³/atom

# 10
Computed, not measured: a relaxed InGaPb2 crystal at the PBE level of DFT.

The structure in CIF format:
```
data_InGaPb2
_space_group_name_H-M_alt 'P 4/m m m'
_space_group_IT_number 123
_space_group_name_Hall '-P 4 2'
_cell_length_a 3.7909
_cell_length_b 3.7909
_cell_length_c 7.6760
_cell_angle_alpha 90.00
_cell_angle_beta 90.00
_cell_angle_gamma 90.00
loop_
_atom_site_label
_atom_site_type_symbol
_atom_site_fract_x
_atom_site_fract_y
_atom_site_fract_z
In1 In 0.0000 0.0000 0.0000
Ga1 Ga 0.0000 0.0000 0.5000
Pb1 Pb 0.5000 0.5000 0.2673
```

- Total energy: -3.239 eV per atom
- Formation enthalpy at 0 K: 56 meV per atom
- Distance to the lowest polymorph of the same formula: 0.010 eV/atom
- DOS(E_F): 1.85 states/eV/cell
- Volume: 27.58 Å³/atom

# 11
Computed, not measured: a relaxed RbNi4Bi12 crystal at the PBE level of DFT.

The structure in CIF format:
```
data_RbNi4Bi12
_space_group_name_H-M_alt 'I m -3'
_space_group_IT_number 204
_space_group_name_Hall '-I 2 2 3'
_cell_length_a 9.7710
_cell_length_b 9.7710
_cell_length_c 9.7710
_cell_angle_alpha 90.00
_cell_angle_beta 90.00
_cell_angle_gamma 90.00
loop_
_atom_site_label
_atom_site_type_symbol
_atom_site_fract_x
_atom_site_fract_y
_atom_site_fract_z
Rb1 Rb 0.0000 0.0000 0.0000
Ni1 Ni 0.2500 0.2500 0.2500
Bi1 Bi 0.0000 0.3370 0.1654
```

- Total energy: -4.207 eV per atom
- Formation enthalpy at 0 K: -50 meV per atom
- DOS(E_F): 21.95 states/eV/cell
- Volume: 27.44 Å³/atom

# 12
Computed, not measured: a relaxed Sr2ZnInHg6 crystal at the PBE level of DFT.

The structure in CIF format:
```
data_Sr2ZnInHg6
_space_group_name_H-M_alt 'P -1'
_space_group_IT_number 2
_cell_length_a 5.9353
_cell_length_b 7.0292
_cell_length_c 7.6165
_cell_angle_alpha 91.23
_cell_angle_beta 112.17
_cell_angle_gamma 106.12
loop_
_space_group_symop_operation_xyz
'x,y,z'
'-x,-y,-z'
loop_
_atom_site_label
_atom_site_type_symbol
_atom_site_fract_x
_atom_site_fract_y
_atom_site_fract_z
Sr1 Sr 0.2301 0.2372 0.2590
Zn1 Zn 0.0000 0.5000 0.5000
In1 In 0.5000 0.0000 0.0000
Hg1 Hg 0.1734 0.7107 0.1725
Hg2 Hg 0.2399 0.9123 0.5732
Hg3 Hg 0.3383 0.3751 0.7982
```

- Total energy: -1.153 eV per atom
- Formation enthalpy at 0 K: -234 meV per atom
- DOS(E_F): 4.83 states/eV/cell
- Volume: 27.98 Å³/atom

# 13
Computed, not measured: a relaxed Pr2AlW crystal at the PBE level of DFT.

The structure in CIF format:
```
data_Pr2AlW
_space_group_name_H-M_alt 'R -3 m'
_space_group_IT_number 166
_space_group_name_Hall '-R 3 2"'
_cell_length_a 3.1492
_cell_length_b 3.1492
_cell_length_c 34.1032
_cell_angle_alpha 90.00
_cell_angle_beta 90.00
_cell_angle_gamma 120.00
loop_
_atom_site_label
_atom_site_type_symbol
_atom_site_fract_x
_atom_site_fract_y
_atom_site_fract_z
Pr1 Pr 0.0000 0.0000 0.0863
Al1 Al 0.0000 0.0000 0.5000
W1 W 0.0000 0.0000 0.0000
```

- Total energy: -5.748 eV per atom
- Formation enthalpy at 0 K: 816 meV per atom
- DOS(E_F): 19.66 states/eV/cell
- Volume: 24.41 Å³/atom

# 14
Computed, not measured: a relaxed HfGa2F2 crystal at the PBE level of DFT.

The structure in CIF format:
```
data_HfGa2F2
_space_group_name_H-M_alt 'P 4/m b m'
_space_group_IT_number 127
_space_group_name_Hall '-P 4 2ab'
_cell_length_a 7.6718
_cell_length_b 7.6718
_cell_length_c 2.8075
_cell_angle_alpha 90.00
_cell_angle_beta 90.00
_cell_angle_gamma 90.00
loop_
_atom_site_label
_atom_site_type_symbol
_atom_site_fract_x
_atom_site_fract_y
_atom_site_fract_z
Hf1 Hf 0.0000 0.0000 0.0000
Ga1 Ga 0.1518 0.3482 0.0000
F1 F 0.1132 0.6132 0.5000
```

- Total energy: -4.642 eV per atom
- Distance to the lowest polymorph of the same formula: 0.408 eV/atom
- Energy relative to the elements, uncorrected: -0.69 eV/atom
- DOS(E_F): 6.30 states/eV/cell
- Volume: 16.52 Å³/atom

# 15
Computed, not measured: a relaxed LiZrIrPt crystal at the PBE level of DFT.

The structure in CIF format:
```
data_LiZrIrPt
_space_group_name_H-M_alt 'F -4 3 m'
_space_group_IT_number 216
_space_group_name_Hall 'F -4 2 3'
_cell_length_a 6.3627
_cell_length_b 6.3627
_cell_length_c 6.3627
_cell_angle_alpha 90.00
_cell_angle_beta 90.00
_cell_angle_gamma 90.00
loop_
_atom_site_label
_atom_site_type_symbol
_atom_site_fract_x
_atom_site_fract_y
_atom_site_fract_z
Li1 Li 0.0000 0.0000 0.0000
Zr1 Zr 0.0000 0.0000 0.5000
Ir1 Ir 0.2500 0.2500 0.7500
Pt1 Pt 0.2500 0.2500 0.2500
```

- Total energy: -7.065 eV per atom
- Formation enthalpy at 0 K: -724 meV per atom
- Distance to the lowest polymorph of the same formula: 0.026 eV/atom
- DOS(E_F): 7.59 states/eV/cell
- Volume: 16.10 Å³/atom

# 16
Computed, not measured: a relaxed DySiS3 crystal at the PBE level of DFT.

The structure in CIF format:
```
data_DySiS3
_space_group_name_H-M_alt 'P 1 21/c 1'
_space_group_IT_number 14
_cell_length_a 6.5094
_cell_length_b 7.2076
_cell_length_c 10.9520
_cell_angle_alpha 90.00
_cell_angle_beta 123.42
_cell_angle_gamma 90.00
loop_
_space_group_symop_operation_xyz
'x,y,z'
'-x,-y,-z'
'-x,y+1/2,-z+1/2'
'x,-y+1/2,z+1/2'
loop_
_atom_site_label
_atom_site_type_symbol
_atom_site_fract_x
_atom_site_fract_y
_atom_site_fract_z
Dy1 Dy 0.2096 0.1264 0.2524
Si1 Si 0.1491 0.6054 0.0676
S1 S 0.0686 0.1762 0.9255
S2 S 0.2819 0.6894 0.9371
S3 S 0.4191 0.0228 0.7674
```

- Total energy: -5.783 eV per atom
- Distance to the lowest polymorph of the same formula: 0.000 eV/atom
- Energy relative to the elements, uncorrected: -1.30 eV/atom
- DOS(E_F): 0.00 states/eV/cell
- Volume: 21.44 Å³/atom

# 17
Computed, not measured: a relaxed TcIr2Rh crystal at the PBE level of DFT.

The structure in CIF format:
```
data_TcIr2Rh
_space_group_name_H-M_alt 'I -4 2 d'
_space_group_IT_number 122
_space_group_name_Hall 'I -4 2bw'
_cell_length_a 5.6274
_cell_length_b 5.6274
_cell_length_c 10.8129
_cell_angle_alpha 90.00
_cell_angle_beta 90.00
_cell_angle_gamma 90.00
loop_
_atom_site_label
_atom_site_type_symbol
_atom_site_fract_x
_atom_site_fract_y
_atom_site_fract_z
Tc1 Tc 0.0000 0.0000 0.0000
Ir1 Ir 0.2449 0.2500 0.1250
Rh1 Rh 0.0000 0.0000 0.5000
```

- Total energy: -7.933 eV per atom
- Formation enthalpy at 0 K: 927 meV per atom
- Distance to the lowest polymorph of the same formula: 1.056 eV/atom
- DOS(E_F): 14.20 states/eV/cell
- Volume: 21.40 Å³/atom

# 18
Computed, not measured: a relaxed LiCaMn2Bi crystal at the PBE level of DFT.

The structure in CIF format:
```
data_LiCaMn2Bi
_space_group_name_H-M_alt 'P 4/m m m'
_space_group_IT_number 123
_space_group_name_Hall '-P 4 2'
_cell_length_a 4.7086
_cell_length_b 4.7086
_cell_length_c 5.1403
_cell_angle_alpha 90.00
_cell_angle_beta 90.00
_cell_angle_gamma 90.00
loop_
_atom_site_label
_atom_site_type_symbol
_atom_site_fract_x
_atom_site_fract_y
_atom_site_fract_z
Li1 Li 0.0000 0.0000 0.0000
Ca1 Ca 0.0000 0.0000 0.5000
Mn1 Mn 0.0000 0.5000 0.0000
Bi1 Bi 0.5000 0.5000 0.5000
```

- Total energy: -4.652 eV per atom
- Formation enthalpy at 0 K: 575 meV per atom
- DOS(E_F): 6.01 states/eV/cell
- Volume: 22.79 Å³/atom

# 19
Computed, not measured: a relaxed MoAs2Au crystal at the PBE level of DFT.

The structure in CIF format:
```
data_MoAs2Au
_space_group_name_H-M_alt 'P 4 m m'
_space_group_IT_number 99
_cell_length_a 3.0303
_cell_length_b 3.0303
_cell_length_c 7.9941
_cell_angle_alpha 90.00
_cell_angle_beta 90.00
_cell_angle_gamma 90.00
loop_
_space_group_symop_operation_xyz
'x,y,z'
'-y,x,z'
'-x,-y,z'
'y,-x,z'
'-x,y,z'
'y,x,z'
'x,-y,z'
'-y,-x,z'
loop_
_atom_site_label
_atom_site_type_symbol
_atom_site_fract_x
_atom_site_fract_y
_atom_site_fract_z
Mo1 Mo 0.0000 0.0000 0.0000
As1 As 0.0000 0.0000 0.5101
As2 As 0.5000 0.5000 0.1834
Au1 Au 0.5000 0.5000 0.7517
```

- Total energy: -5.617 eV per atom
- Formation enthalpy at 0 K: 235 meV per atom
- Distance to the lowest polymorph of the same formula: 0.202 eV/atom
- DOS(E_F): 3.46 states/eV/cell
- Volume: 18.35 Å³/atom

# 20
Computed, not measured: a relaxed Ca3Te2Se crystal at the PBE level of DFT.

The structure in CIF format:
```
data_Ca3Te2Se
_space_group_name_H-M_alt 'I m m m'
_space_group_IT_number 71
_space_group_name_Hall '-I 2 2'
_cell_length_a 4.4052
_cell_length_b 6.2741
_cell_length_c 13.2922
_cell_angle_alpha 90.00
_cell_angle_beta 90.00
_cell_angle_gamma 90.00
loop_
_atom_site_label
_atom_site_type_symbol
_atom_site_fract_x
_atom_site_fract_y
_atom_site_fract_z
Ca1 Ca 0.0000 0.0000 0.0000
Ca2 Ca 0.0000 0.0000 0.3450
Te1 Te 0.0000 0.5000 0.3308
Se1 Se 0.0000 0.5000 0.0000
```

- Total energy: -4.387 eV per atom
- Energy relative to the elements, uncorrected: -1.76 eV/atom
- DOS(E_F): 0.00 states/eV/cell
- Volume: 30.61 Å³/atom